Zn2CdRe after structural relaxation, computed with GGA-PBE.

The calculation puts the spin magnetization at 0.00 μB per formula unit. The calculation puts the density of states at the Fermi level at 4.31 states/eV/f.u. The formation energy is 391.2 meV per atom.

The structure belongs to space group P4mm (No. 99); the cell edges are 2.763, 2.763 and 8.499 Å and the angles 90.00°, 90.00° and 90.00°. The inequivalent atoms are Zn at (0.000, 0.000, 0.000), Zn at (0.500, 0.500, 0.229), Cd at (0.000, 0.000, 0.501) and Re at (0.500, 0.500, 0.769).

Dy4CdIn2Rh after structural relaxation, computed with GGA-PBE.

The calculation puts the spin magnetization at 0.00 μB per formula unit. The calculation puts the density of states at the Fermi level at 4.09 states/eV/f.u. The formation energy is -511.8 meV per atom.

The structure belongs to space group R-3m (No. 166, hexagonal axes); the cell edges are 5.2231, 5.2231 and 25.2248 Å and the angles 90.00°, 90.00° and 120.00°. The inequivalent atoms are Dy at (0.0000, 0.0000, 0.1151), Dy at (0.0000, 0.0000, 0.3688), Cd at (0.0000, 0.0000, 0.5000), In at (0.0000, 0.0000, 0.2433) and Rh at (0.0000, 0.0000, 0.0000).

BeAl3Rh after structural relaxation, computed with GGA-PBE.

The calculation puts the spin magnetization at 0.00 μB per formula unit. The calculation puts the density of states at the Fermi level at 2.37 states/eV/f.u. For the distance to the lowest polymorph of the same formula, the calculation gives 0.0 meV/atom. The formation energy is 283.0 meV per atom.

The structure belongs to space group Pm-3m (No. 221); the cell edges are 4.678, 4.678 and 4.678 Å and the angles 90.00°, 90.00° and 90.00°. The inequivalent atoms are Be at (0.000, 0.000, 0.000), Al at (0.000, 0.500, 0.500) and Rh at (0.500, 0.500, 0.500).

ZnPtBr after structural relaxation, computed with GGA-PBE.

The calculation puts the spin magnetization at 0.00 μB per formula unit. The calculation puts the density of states at the Fermi level at 1.09 states/eV/f.u. For the distance to the lowest polymorph of the same formula, the calculation gives 92.9 meV/atom. The formation energy without anion corrections is 0.0942 eV per atom.

The structure belongs to space group Fmm2 (No. 42); the cell edges are 3.465, 5.494 and 12.134 Å and the angles 90.00°, 90.00° and 90.00°. The inequivalent atoms are Zn at (0.000, 0.000, 0.000), Pt at (0.000, 0.000, 0.647) and Br at (0.000, 0.000, 0.342).

SiP2RuN after structural relaxation, computed with GGA-PBE.

The calculation puts the spin magnetization at 0.00 μB per formula unit. The calculation puts the density of states at the Fermi level at 1.28 states/eV/f.u. For the distance to the lowest polymorph of the same formula, the calculation gives 1.2 meV/atom. The formation energy without anion corrections is -0.3256 eV per atom.

The structure belongs to space group Amm2 (No. 38); the cell edges are 3.434, 2.839 and 14.179 Å and the angles 90.00°, 90.00° and 90.00°. The inequivalent atoms are Si at (0.000, 0.000, 0.000), P at (0.000, 0.000, 0.694), P at (0.500, 0.000, 0.899), Ru at (0.500, 0.000, 0.263) and N at (0.000, 0.000, 0.572).

PbSe3Cl after structural relaxation, computed with GGA-PBE.

The calculation puts the spin magnetization at 0.00 μB per formula unit. The calculation puts the density of states at the Fermi level at 2.45 states/eV/f.u. For the distance to the lowest polymorph of the same formula, the calculation gives 0.0 meV/atom. The formation energy without anion corrections is 0.4076 eV per atom.

The structure belongs to space group Pm-3m (No. 221); the cell edges are 5.067, 5.067 and 5.067 Å and the angles 90.00°, 90.00° and 90.00°. The inequivalent atoms are Pb at (0.000, 0.000, 0.000), Se at (0.000, 0.500, 0.500) and Cl at (0.500, 0.500, 0.500).

SrYAg2O4 after structural relaxation, computed with GGA-PBE.

The calculation puts the spin magnetization at 0.00 μB per formula unit. The calculation puts the density of states at the Fermi level at 2.79 states/eV/f.u. The formation energy without anion corrections is -1.7284 eV per atom.

The structure belongs to space group I-42m (No. 121); the cell edges are 6.102, 6.102 and 6.830 Å and the angles 90.00°, 90.00° and 90.00°. The inequivalent atoms are Sr at (0.000, 0.000, 0.000), Y at (0.000, 0.000, 0.500), Ag at (0.000, 0.500, 0.250) and O at (0.192, 0.192, 0.713).

Cu5Si2 after structural relaxation, computed with GGA-PBE.

The calculation puts the spin magnetization at 0.00 μB per formula unit. The calculation puts the density of states at the Fermi level at 1.98 states/eV/f.u. The formation energy without anion corrections is 0.0217 eV per atom.

The structure belongs to space group Cmcm (No. 63); the cell edges are 3.648, 27.276 and 3.623 Å and the angles 90.00°, 90.00° and 90.00°. The inequivalent atoms are Cu at (0.000, 0.034, 0.250), Cu at (0.000, 0.102, 0.750), Cu at (0.000, 0.250, 0.250), Cu at (0.000, 0.318, 0.750), Cu at (0.000, 0.466, 0.250), Si at (0.000, 0.188, 0.750) and Si at (0.000, 0.404, 0.750).

Th3Zn7Ni4 after structural relaxation, computed with GGA-PBE.

The calculation puts the spin magnetization at 0.00 μB per formula unit. The calculation puts the density of states at the Fermi level at 10.16 states/eV/f.u. The formation energy is -354.4 meV per atom.

The structure belongs to space group C2/m (No. 12); the cell edges are 15.161, 4.169 and 9.275 Å and the angles 90.00°, 123.47° and 90.00°. The inequivalent atoms are Th at (0.000, 0.000, 0.000), Th at (0.199, 0.500, 0.704), Zn at (0.000, 0.000, 0.500), Zn at (0.006, 0.500, 0.296), Zn at (0.144, 0.000, 0.415), Zn at (0.174, 0.500, 0.012), Ni at (0.114, 0.000, 0.828) and Ni at (0.162, 0.500, 0.274).

CsK2ScBr6 after structural relaxation, computed with GGA-PBE.

The calculation puts the spin magnetization at 0.00 μB per formula unit. The calculation puts the density of states at the Fermi level at 0.00 states/eV/f.u. The formation energy without anion corrections is -1.7447 eV per atom.

The structure belongs to space group R3 (No. 146, hexagonal axes); the cell edges are 8.1503, 8.1503 and 21.3994 Å and the angles 90.00°, 90.00° and 120.00°. The inequivalent atoms are Cs at (0.0000, 0.0000, 0.0000), K at (0.0000, 0.0000, 0.2008), K at (0.0000, 0.0000, 0.7160), Sc at (0.0000, 0.0000, 0.5141), Br at (0.0680, 0.3827, 0.1117) and Br at (0.0766, 0.6753, 0.2577).

CsIrW3 after structural relaxation, computed with GGA-PBE.

The calculation puts the spin magnetization at 3.72 μB per formula unit. The calculation puts the density of states at the Fermi level at 4.77 states/eV/f.u. For the distance to the lowest polymorph of the same formula, the calculation gives 0.0 meV/atom. The formation energy is 2215.9 meV per atom.

The structure belongs to space group Pm-3m (No. 221); the cell edges are 4.983, 4.983 and 4.983 Å and the angles 90.00°, 90.00° and 90.00°. The inequivalent atoms are Cs at (0.000, 0.000, 0.000), Ir at (0.500, 0.500, 0.500) and W at (0.000, 0.500, 0.500).

SmY4In3 after structural relaxation, computed with GGA-PBE.

The calculation puts the spin magnetization at 1.79 μB per formula unit. The calculation puts the density of states at the Fermi level at 9.92 states/eV/f.u. The formation energy is -347.2 meV per atom.

The structure belongs to space group R-3m (No. 166, hexagonal axes); the cell edges are 5.3828, 5.3828 and 27.2950 Å and the angles 90.00°, 90.00° and 120.00°. The inequivalent atoms are Sm at (0.0000, 0.0000, 0.0000), Y at (0.0000, 0.0000, 0.1297), Y at (0.0000, 0.0000, 0.3863), In at (0.0000, 0.0000, 0.2625) and In at (0.0000, 0.0000, 0.5000).

- What is the formula in the third record?
  BeAl3Rh

- Which formula does entry 3 have?
  BeAl3Rh

Copy entry 1 word for word.
Zn2CdRe after structural relaxation, computed with GGA-PBE.

The calculation puts the spin magnetization at 0.00 μB per formula unit. The calculation puts the density of states at the Fermi level at 4.31 states/eV/f.u. The formation energy is 391.2 meV per atom.

The structure belongs to space group P4mm (No. 99); the cell edges are 2.763, 2.763 and 8.499 Å and the angles 90.00°, 90.00° and 90.00°. The inequivalent atoms are Zn at (0.000, 0.000, 0.000), Zn at (0.500, 0.500, 0.229), Cd at (0.000, 0.000, 0.501) and Re at (0.500, 0.500, 0.769).